1.
## Pa2FeTcGe2 (PBE-GGA)

Data for crystalline Pa2FeTcGe2 at its relaxed geometry.

Cell and atoms, written as POSCAR:
```
Pa2FeTcGe2
1.0
-5.322 2.669 -0.283
-1.666 -2.794 4.993
5.790 5.017 1.183
Ge Pa Fe Tc
4 4 2 2
Cartesian
-3.423 3.056 0.567 Ge
2.225 1.836 5.325 Ge
-1.724 0.390 3.199 Ge
0.526 4.502 2.694 Ge
2.919 2.796 2.538 Pa
-0.549 2.720 4.895 Pa
-4.117 2.096 3.355 Pa
-0.649 2.172 0.998 Pa
-3.078 0.636 1.107 Fe
-3.911 -0.761 3.603 Fe
-1.250 -2.095 3.745 Tc
-0.417 -0.698 1.248 Tc
```

Calculated values
calculated total energy = -8.257 eV/atom
formation energy = -0.41 eV per atom
crystal system = orthorhombic

---

2.
## Pa3FeTc2Ge3 (PBE-GGA)

Data for crystalline Pa3FeTc2Ge3 at its relaxed geometry.

Cell and atoms, written as POSCAR:
```
Pa3FeTc2Ge3
1.0
-1.510 -2.124 2.891
5.782 -3.993 0.088
-0.364 5.745 4.030
Ge Fe Pa Tc
3 1 3 2
Cartesian
0.546 -0.641 2.434 Ge
-1.032 3.304 4.508 Ge
3.639 -4.096 1.512 Ge
0.000 0.000 0.000 Fe
2.360 -1.630 0.036 Pa
-0.149 2.345 1.645 Pa
3.207 1.037 2.437 Pa
0.930 1.438 4.161 Tc
2.978 -1.808 2.847 Tc
```

Calculated values
calculated total energy = -8.452 eV/atom
formation energy = -0.50 eV per atom
crystal system = hexagonal